Computed, not measured: a relaxed Si2MoPb crystal at the GGA-PBE level of DFT.

Lattice parameters (Å, degrees): 4.5138 4.5138 6.0831 76.62 76.62 42.55
Fractional coordinates of all 4 atoms:
Mo 0.7500 0.7500 0.7500
Pb 0.2500 0.2500 0.2500
Si 0.0176 0.0176 0.8911
Si 0.4824 0.4824 0.6089

Values from the calculation:
crystal system: monoclinic
electronic total energy: -6.084 eV per atom
formation energy from raw total energies: 1.05 eV per formula unit



Computed, not measured: a relaxed Si2MoPb crystal at the GGA-PBE level of DFT.

Lattice parameters (Å, degrees): 4.4577 4.4577 9.0962 75.82 75.82 90.00
Site moments in Bohr magnetons follow the coordinates.
Fractional coordinates of all 8 atoms:
Pb 0.0000 0.0000 0.0000  0.01
Pb 0.7500 0.2500 0.5000  0.00
Mo 0.5000 0.5000 0.0000  0.76
Mo 0.2500 0.7500 0.5000  0.76
Si 0.5000 0.1250 0.2500  0.00
Si 0.2500 0.6250 0.2500  0.00
Si 0.3750 0.5000 0.7500  0.00
Si 0.8750 0.7500 0.7500  0.00

Values from the calculation:
crystal system: tetragonal
electronic total energy: -5.749 eV per atom
formation energy from raw total energies: 2.39 eV per formula unit



Computed, not measured: a relaxed Si2MoPb crystal at the GGA-PBE level of DFT.

Lattice parameters (Å, degrees): 5.1909 5.1909 5.1909 141.15 122.17 71.87
Fractional coordinates of all 4 atoms:
Mo 0.7500 0.2500 0.5000
Pb 0.2500 0.7500 0.5000
Si 0.9809 0.9809 0.0000
Si 0.5191 0.5191 0.0000

Values from the calculation:
crystal system: orthorhombic
electronic total energy: -5.757 eV per atom
formation energy from raw total energies: 2.36 eV per formula unit



Computed, not measured: a relaxed Si2MoPb crystal at the GGA-PBE level of DFT.

Lattice parameters (Å, degrees): 3.2449 3.2449 7.1116 90.00 90.00 90.00
Fractional coordinates of all 4 atoms:
Mo 0.5000 0.5000 0.2500
Pb 0.5000 0.5000 0.7500
Si 0.0000 0.0000 0.0749
Si 0.0000 0.0000 0.4251

Values from the calculation:
crystal system: tetragonal
electronic total energy: -6.211 eV per atom
formation energy from raw total energies: 0.54 eV per formula unit